{
  "formula": "NaLi2AsS4",
  "functional": "GGA-PBE",
  "state": "optimized geometry",
  "dos_ef_per_ev_cell": 0.00,
  "formation_energy_uncorrected_mev_per_atom": -812,
  "space_group": "I-42m, No. 121",
  "lattice_angstrom": [[-3.167, 3.167, 4.311], [3.167, -3.167, 4.311], [3.167, 3.167, -4.311]],
  "species": ["Na", "Li", "Li", "As", "S", "S", "S", "S"],
  "fractional_positions": [[0.000, 0.000, 0.000], [0.250, 0.750, 0.500], [0.750, 0.250, 0.500], [0.500, 0.500, 0.000], [0.154, 0.154, 0.596], [0.442, 0.846, 0.000], [0.558, 0.558, 0.404], [0.846, 0.442, 0.000]]
}



{
  "formula": "NaLiAs2Se",
  "functional": "GGA-PBE",
  "state": "optimized geometry",
  "dos_ef_per_ev_cell": 2.61,
  "formation_energy_uncorrected_mev_per_atom": 52,
  "space_group": "P4/mmm, No. 123",
  "lattice_angstrom": [[4.625, 0.000, 0.000], [0.000, 4.625, 0.000], [0.000, 0.000, 5.019]],
  "species": ["Na", "Li", "As", "As", "Se"],
  "fractional_positions": [[0.000, 0.000, 0.000], [0.500, 0.500, 0.500], [0.000, 0.500, 0.500], [0.500, 0.000, 0.500], [0.500, 0.500, 0.000]]
}



{
  "formula": "NaLiAsSe3",
  "functional": "GGA-PBE",
  "state": "optimized geometry",
  "dos_ef_per_ev_cell": 5.35,
  "formation_energy_uncorrected_mev_per_atom": -558,
  "space_group": "P2_1/m, No. 11",
  "lattice_angstrom": [[7.617, 0.000, 0.000], [0.000, 3.713, 0.000], [-2.794, 0.000, 10.220]],
  "species": ["Na", "Na", "Li", "Li", "As", "As", "Se", "Se", "Se", "Se", "Se", "Se"],
  "fractional_positions": [[0.130, 0.250, 0.169], [0.870, 0.750, 0.831], [0.151, 0.750, 0.560], [0.849, 0.250, 0.440], [0.376, 0.250, 0.832], [0.624, 0.750, 0.168], [0.036, 0.250, 0.685], [0.284, 0.750, 0.989], [0.479, 0.750, 0.694], [0.521, 0.250, 0.306], [0.716, 0.250, 0.011], [0.964, 0.750, 0.315]]
}



{
  "formula": "NaLi2AsSe4",
  "functional": "GGA-PBE",
  "state": "optimized geometry",
  "formation_energy_uncorrected_mev_per_atom": -728,
  "space_group": "I-42m, No. 121",
  "lattice_angstrom": [[-3.354, 3.354, 4.460], [3.354, -3.354, 4.460], [3.354, 3.354, -4.460]],
  "species": ["Na", "Li", "Li", "As", "Se", "Se", "Se", "Se"],
  "fractional_positions": [[0.000, 0.000, 0.000], [0.250, 0.750, 0.500], [0.750, 0.250, 0.500], [0.500, 0.500, 0.000], [0.145, 0.555, 0.000], [0.445, 0.445, 0.590], [0.555, 0.145, 0.000], [0.855, 0.855, 0.410]]
}